# Ni7Pt4 (PBEsol, optimized geometry)
# DFT formation energy, meV per atom: -45
data_Ni7Pt4
_chemical_formula_sum 'Ni7 Pt4'
_space_group_name_H-M_alt 'P -1'
_space_group_IT_number 2
_cell_length_a 4.436
_cell_length_b 4.519
_cell_length_c 6.853
_cell_angle_alpha 96.39
_cell_angle_beta 90.11
_cell_angle_gamma 99.24
loop_
_space_group_symop_operation_xyz
'x,y,z'
'-x,-y,-z'
loop_
_atom_site_label
_atom_site_fract_x
_atom_site_fract_y
_atom_site_fract_z
_atom_site_occupancy
Ni1 0.000 0.000 0.000 1
Ni2 0.273 0.632 0.547 1
Ni3 0.359 0.182 0.734 1
Ni4 0.453 0.736 0.913 1
Pt1 0.095 0.545 0.182 1
Pt2 0.198 0.095 0.367 1

# SrSiNi2 (PBEsol, optimized geometry)
# E_form (uncorrected), eV/atom: -0.1031
data_SrSiNi2
_chemical_formula_sum 'Sr1 Si1 Ni2'
_space_group_name_H-M_alt 'P 4/m m m'
_space_group_IT_number 123
_space_group_name_Hall '-P 4 2'
_cell_length_a 2.939
_cell_length_b 2.939
_cell_length_c 7.064
_cell_angle_alpha 90.00
_cell_angle_beta 90.00
_cell_angle_gamma 90.00
loop_
_atom_site_label
_atom_site_fract_x
_atom_site_fract_y
_atom_site_fract_z
_atom_site_occupancy
Sr1 0.000 0.000 0.000 1
Si1 0.000 0.000 0.500 1
Ni1 0.500 0.500 0.328 1

# TiBe2W2 (PBEsol, optimized geometry)
# DFT formation energy, meV per atom: -155
data_TiBe2W2
_chemical_formula_sum 'Ti2 Be4 W4'
_space_group_name_H-M_alt 'P 4/m b m'
_space_group_IT_number 127
_space_group_name_Hall '-P 4 2ab'
_cell_length_a 6.198
_cell_length_b 6.198
_cell_length_c 3.202
_cell_angle_alpha 90.00
_cell_angle_beta 90.00
_cell_angle_gamma 90.00
loop_
_atom_site_label
_atom_site_fract_x
_atom_site_fract_y
_atom_site_fract_z
_atom_site_occupancy
Ti1 0.000 0.000 0.000 1
Be1 0.116 0.384 0.000 1
W1 0.177 0.677 0.500 1

# Ca3Nb4O12F2 (PBEsol, optimized geometry)
# E_form (uncorrected), eV/atom: -2.9075
data_Ca3Nb4O12F2
_chemical_formula_sum 'Ca9 Nb12 O36 F6'
_space_group_name_H-M_alt 'R -3 m'
_space_group_IT_number 166
_space_group_name_Hall '-R 3 2"'
_cell_length_a 7.4599
_cell_length_b 7.4599
_cell_length_c 17.8797
_cell_angle_alpha 90.00
_cell_angle_beta 90.00
_cell_angle_gamma 120.00
loop_
_atom_site_label
_atom_site_fract_x
_atom_site_fract_y
_atom_site_fract_z
_atom_site_occupancy
Ca1 0.0000 0.5000 0.0000 1
Nb1 0.0000 0.0000 0.0000 1
Nb2 0.0000 0.5000 0.5000 1
O1 0.0710 0.5355 0.6088 1
O2 0.0856 0.5428 0.8583 1
F1 0.0000 0.0000 0.3606 1

Crystalline RbCa3H at its relaxed geometry, computed with PBEsol.

CIF file:
```
data_RbCa3H
_chemical_formula_sum 'Rb1 Ca3 H1'
_space_group_name_H-M_alt 'P m -3 m'
_space_group_IT_number 221
_space_group_name_Hall '-P 4 2 3'
_cell_length_a 5.571
_cell_length_b 5.571
_cell_length_c 5.571
_cell_angle_alpha 90.00
_cell_angle_beta 90.00
_cell_angle_gamma 90.00
loop_
_atom_site_label
_atom_site_fract_x
_atom_site_fract_y
_atom_site_fract_z
_atom_site_occupancy
Rb1 0.000 0.000 0.000 1
Ca1 0.000 0.500 0.500 1
H1 0.500 0.500 0.500 1
```

# CeGa3Pd (PBEsol, optimized geometry)
# DFT formation energy, meV per atom: -690
data_CeGa3Pd
_chemical_formula_sum 'Ce4 Ga12 Pd4'
_space_group_name_H-M_alt 'C m c m'
_space_group_IT_number 63
_space_group_name_Hall '-C 2c 2'
_cell_length_a 6.310
_cell_length_b 10.101
_cell_length_c 5.793
_cell_angle_alpha 90.00
_cell_angle_beta 90.00
_cell_angle_gamma 90.00
loop_
_atom_site_label
_atom_site_fract_x
_atom_site_fract_y
_atom_site_fract_z
_atom_site_occupancy
Ce1 0.000 0.232 0.250 1
Ga1 0.000 0.333 0.750 1
Ga2 0.212 0.500 0.000 1
Pd1 0.000 0.091 0.750 1

# Sn2Sb2Pb (PBEsol, optimized geometry)
# E_form (uncorrected), eV/atom: 0.1685
data_Sn2Sb2Pb
_chemical_formula_sum 'Sn4 Sb4 Pb2'
_space_group_name_H-M_alt 'I 4/m m m'
_space_group_IT_number 139
_space_group_name_Hall '-I 4 2'
_cell_length_a 4.203
_cell_length_b 4.203
_cell_length_c 16.493
_cell_angle_alpha 90.00
_cell_angle_beta 90.00
_cell_angle_gamma 90.00
loop_
_atom_site_label
_atom_site_fract_x
_atom_site_fract_y
_atom_site_fract_z
_atom_site_occupancy
Sn1 0.000 0.000 0.095 1
Sb1 0.000 0.500 0.250 1
Pb1 0.000 0.000 0.500 1

# LaSNO2 (PBEsol, optimized geometry)
# E_form (uncorrected), eV/atom: -1.1762
data_LaSNO2
_chemical_formula_sum 'La1 S1 N1 O2'
_space_group_name_H-M_alt 'P 4/m m m'
_space_group_IT_number 123
_space_group_name_Hall '-P 4 2'
_cell_length_a 3.944
_cell_length_b 3.944
_cell_length_c 3.703
_cell_angle_alpha 90.00
_cell_angle_beta 90.00
_cell_angle_gamma 90.00
loop_
_atom_site_label
_atom_site_fract_x
_atom_site_fract_y
_atom_site_fract_z
_atom_site_occupancy
La1 0.000 0.000 0.000 1
S1 0.500 0.500 0.500 1
N1 0.500 0.500 0.000 1
O1 0.000 0.500 0.500 1

no.,total moment (μB per atom),energy (eV/atom),density of states at the Fermi level (states/eV/atom)
1,0.55,-6.495,1.535
2,0.00,-5.079,0.540
3,0.00,-8.943,0.541
4,0.00,-8.457,0.000
5,0.00,-2.031,0.700
6,0.11,-5.204,1.184
7,0.00,-4.158,0.596
8,0.00,-6.927,0.049